No. 1
Compound: La2MgRe
Source: the Alexandria database
Functional: PBE
Structure: relaxed

```
La2MgRe
1.0
-1.2707 2.0222 2.0563
-2.1002 -1.9309 -1.3390
1.5272 -7.2798 8.1026
La Mg Re
2 1 1
Direct
0.5000 0.5000 0.2725
0.0000 0.0000 0.9430
0.0000 0.0000 0.5450
0.5000 0.5000 0.7396
```

DOS(E_F) = 1.263 states/eV per atom
Space-group type = Cmm2
Total DFT energy (no corrections) = -22.01 eV for the cell shown
Formation energy = 471 meV per atom

***

No. 2
Compound: LaMgRe2
Source: the Alexandria database
Functional: PBE
Structure: relaxed

```
LaMgRe2
1.0
-7.2986 -3.9932 6.4176
-5.1704 -5.8256 7.0519
-5.3499 -3.2987 8.4200
Re La Mg
2 1 1
Direct
0.5083 0.5083 0.5083
0.9917 0.9917 0.9917
0.7500 0.7500 0.7500
0.2500 0.2500 0.2500
```

DOS(E_F) = 1.196 states/eV per atom
Space-group type = R-3m
Total DFT energy (no corrections) = -28.47 eV for the cell shown
Formation energy = 736 meV per atom

***

No. 3
Compound: La2MgRe
Source: the Alexandria database
Functional: PBE
Structure: relaxed

```
La2MgRe
1.0
-1.3074 3.4127 0.5724
-3.0153 -0.8234 -1.9782
-3.5870 -2.4633 6.4930
Re La Mg
1 2 1
Direct
0.5000 0.5000 0.6834
0.0000 0.0000 0.9330
0.5000 0.5000 0.3270
0.0000 0.0000 0.5566
```

DOS(E_F) = 0.698 states/eV per atom
Space-group type = P4mm
Total DFT energy (no corrections) = -22.55 eV for the cell shown
Formation energy = 337 meV per atom

***

No. 4
Compound: LaMgRe2
Source: the Alexandria database
Functional: PBE
Structure: relaxed

```
LaMgRe2
1.0
-0.1098 2.7698 -0.5035
-0.7633 -1.4515 -2.2908
-9.4374 0.1770 3.0323
La Re Mg
1 2 1
Direct
0.5000 0.5000 0.2500
0.0000 0.0000 0.5203
0.0000 0.0000 0.9797
0.5000 0.5000 0.7500
```

DOS(E_F) = 0.692 states/eV per atom
Space-group type = Cmmm
Total DFT energy (no corrections) = -28.93 eV for the cell shown
Formation energy = 622 meV per atom

***

No. 5
Compound: La2MgRe
Source: the Alexandria database
Functional: PBE
Structure: relaxed

```
La2MgRe
1.0
5.1069 0.0000 0.0000
2.5535 4.4227 0.0000
2.5535 1.4742 4.1698
La Mg Re
2 1 1
Direct
0.2500 0.2500 0.2500
0.0000 0.0000 0.0000
0.5000 0.5000 0.5000
0.7500 0.7500 0.7500
```

DOS(E_F) = 1.392 states/eV per atom
Space-group type = F-43m
Total DFT energy (no corrections) = -22.32 eV for the cell shown
Formation energy = 394 meV per atom

***

No. 6
Compound: LaMgRe2
Source: the Alexandria database
Functional: PBE
Structure: relaxed

```
LaMgRe2
1.0
5.5434 0.0064 0.0028
2.4410 4.9770 -0.0028
-3.4809 -3.3109 2.7659
La Re Mg
1 2 1
Direct
0.7500 0.2500 0.5000
0.5009 0.5009 0.0000
0.9991 0.9991 0.0000
0.2500 0.7500 0.5000
```

DOS(E_F) = 1.114 states/eV per atom
Space-group type = Immm
Total DFT energy (no corrections) = -28.34 eV for the cell shown
Formation energy = 769 meV per atom

***

Respective volume values: 25.011 18.619 26.739 18.423 23.545 19.060 Å³/atom.